The following is a PBE calculation of a relaxed structure of MgAs2C, from Alexandria via LeMat-Bulk.

## Properties
The value obtained for the energy of formation is 0.3650 eV per atom.

Cell: 5.859 5.859 8.355 Å, 90.00 90.00 90.00°
Space group I-42d (No. 122)
One atom of each set of equivalent atoms:
Mg1 0.000 0.000 0.000 x4
As1 0.165 0.250 0.625 x8
C1 0.000 0.000 0.500 x4

---

The following is a PBE calculation of a relaxed structure of Tb3Y5Er4, from Alexandria via LeMat-Bulk.

## Properties
The value obtained for the energy of formation is 0.0228 eV per atom.

Cell: 6.140 7.101 8.681 Å, 90.01 90.03 90.12°
Space group P-1 (No. 2)
One atom of each set of equivalent atoms:
Tb1 0.000 0.000 0.000 x1
Tb2 0.166 0.749 0.667 x2
Y1 0.000 0.500 0.000 x1
Y2 0.332 0.000 0.334 x2
Y3 0.500 0.250 0.000 x2
Er1 0.167 0.251 0.666 x2
Er2 0.334 0.500 0.336 x2

---

The following is a PBE calculation of a relaxed structure of Li4Mo, from Alexandria via LeMat-Bulk.

## Properties
The value obtained for the energy of formation is 1.0006 eV per atom.

Cell: 6.373 6.373 6.373 Å, 90.00 90.00 90.00°
Space group Im-3m (No. 229)
One atom of each set of equivalent atoms:
Li1 0.250 0.250 0.250 x8
Mo1 0.000 0.000 0.000 x2

---

The following is a PBE calculation of a relaxed structure of OsO2F2, from Alexandria via LeMat-Bulk.

## Properties
The calculation puts the energy relative to the elements, uncorrected at -5.446 eV per formula unit.

Cell: 4.994 5.532 5.875 Å, 79.65 77.48 89.71°
Space group P-1 (No. 2)
One atom of each set of equivalent atoms:
Os1 0.249 0.069 0.120 x2
O1 0.125 0.914 0.846 x2
O2 0.378 0.183 0.325 x2
F1 0.196 0.745 0.301 x2
F2 0.295 0.370 0.901 x2

---

The following is a PBE calculation of a relaxed structure of EuPu2C, from Alexandria via LeMat-Bulk.

## Properties
The value obtained for the energy of formation is 0.2771 eV per atom.

Cell: 3.202 3.202 8.974 Å, 90.00 90.00 90.00°
Space group P4/mmm (No. 123)
One atom of each set of equivalent atoms:
Eu1 0.000 0.000 0.000 x1
Pu1 0.500 0.500 0.349 x2
C1 0.000 0.000 0.500 x1

---

The following is a PBE calculation of a relaxed structure of PrSmHg2, from Alexandria via LeMat-Bulk.

## Properties
The value obtained for the energy of formation is -0.4709 eV per atom.

Cell: 7.663 7.663 7.663 Å, 90.00 90.00 90.00°
Space group Fm-3m (No. 225)
One atom of each set of equivalent atoms:
Pr1 0.000 0.000 0.000 x4
Sm1 0.000 0.000 0.500 x4
Hg1 0.250 0.250 0.250 x8

---

The following is a PBE calculation of a relaxed structure of GeB, from Alexandria via LeMat-Bulk.

## Properties
The value obtained for the energy of formation is 0.6580 eV per atom.

Cell: 9.888 3.518 4.802 Å, 90.00 90.00 90.00°
Space group Pmn2_1 (No. 31)
One atom of each set of equivalent atoms:
Ge1 0.000 0.020 0.000 x2
Ge2 0.186 0.628 0.574 x4
B1 0.000 0.501 0.741 x2
B2 0.196 0.877 0.138 x4

---

The following is a PBE calculation of a relaxed structure of Rb2MgPbBr6, from Alexandria via LeMat-Bulk.

## Properties
The calculation puts the energy relative to the elements, uncorrected at -14.201 eV per formula unit.

Cell: 7.827 8.050 13.643 Å, 90.00 124.76 90.00°
Space group P2_1/c (No. 14)
One atom of each set of equivalent atoms:
Rb1 0.230 0.062 0.248 x4
Mg1 0.000 0.000 0.500 x2
Pb1 0.500 0.000 0.000 x2
Br1 0.146 0.219 0.958 x4
Br2 0.242 0.691 0.960 x4
Br3 0.315 0.013 0.735 x4

---

The following is a PBE calculation of a relaxed structure of NdErGeRh, from Alexandria via LeMat-Bulk.

## Properties
The value obtained for the energy of formation is -0.6655 eV per atom.

Cell: 7.098 7.098 7.098 Å, 90.00 90.00 90.00°
Space group F-43m (No. 216)
One atom of each set of equivalent atoms:
Nd1 0.000 0.000 0.000 x4
Er1 0.000 0.000 0.500 x4
Ge1 0.250 0.250 0.750 x4
Rh1 0.250 0.250 0.250 x4

---

The following is a PBE calculation of a relaxed structure of BeZnMo2, from Alexandria via LeMat-Bulk.

## Properties
The value obtained for the energy of formation is 0.3221 eV per atom.

Cell: 2.7488 2.7488 26.0541 Å, 90.00 90.00 120.00°
Space group R-3m (No. 166, hexagonal axes)
One atom of each set of equivalent atoms:
Be1 0.0000 0.0000 0.0000 x3
Zn1 0.0000 0.0000 0.5000 x3
Mo1 0.0000 0.0000 0.2552 x6

---

The following is a PBE calculation of a relaxed structure of RbLiAs2Pb, from Alexandria via LeMat-Bulk.

## Properties
The value obtained for the energy of formation is 0.5115 eV per atom.

Cell: 5.636 5.636 6.276 Å, 90.00 90.00 90.00°
Space group P4/mmm (No. 123)
One atom of each set of equivalent atoms:
Rb1 0.000 0.000 0.000 x1
Li1 0.500 0.500 0.000 x1
As1 0.000 0.500 0.500 x2
Pb1 0.000 0.000 0.500 x1

---

The following is a PBE calculation of a relaxed structure of As2Au, from Alexandria via LeMat-Bulk.

## Properties
The value obtained for the energy of formation is 0.2251 eV per atom.

Cell: 7.6575 7.6575 3.7122 Å, 90.00 90.00 120.00°
Space group P-62m (No. 189)
One atom of each set of equivalent atoms:
As1 0.0000 0.2856 0.0000 x3
As2 0.0000 0.5219 0.5000 x3
Au1 0.0000 0.0000 0.5000 x1
Au2 0.3333 0.6667 0.0000 x2